#a
BaDyO2 | PBE | optimized geometry

a = 6.680 Å, b = 6.680 Å, c = 6.680 Å
α = 30.83°, β = 30.83°, γ = 30.83°
Positions (direct):
Ba (0.000, 0.000, 0.000)
Dy (0.500, 0.500, 0.500)
O (0.227, 0.227, 0.227)
O (0.773, 0.773, 0.773)

Values from the calculation:
Its crystal system is trigonal. As for the symmetry: R-3m.

#b
BaDyO2 | PBE | optimized geometry

a = 6.970 Å, b = 6.970 Å, c = 6.970 Å
α = 29.28°, β = 29.28°, γ = 29.28°
Positions (direct):
Ba (0.000, 0.000, 0.000)
Dy (0.173, 0.173, 0.173)
O (0.565, 0.565, 0.565)
O (0.782, 0.782, 0.782)

Values from the calculation:
Its crystal system is trigonal. As for the symmetry: R3m.

#c
BaDyO2 | PBE | optimized geometry

a = 7.126 Å, b = 3.455 Å, c = 15.332 Å
α = 90.00°, β = 90.00°, γ = 90.00°
Positions (direct):
Ba (0.121, 0.250, 0.115)
Ba (0.379, 0.750, 0.615)
Ba (0.621, 0.250, 0.385)
Ba (0.879, 0.750, 0.885)
Dy (0.130, 0.250, 0.422)
Dy (0.370, 0.750, 0.922)
Dy (0.630, 0.250, 0.078)
Dy (0.870, 0.750, 0.578)
O (0.093, 0.250, 0.565)
O (0.163, 0.250, 0.933)
O (0.337, 0.750, 0.433)
O (0.407, 0.750, 0.065)
O (0.593, 0.250, 0.935)
O (0.663, 0.250, 0.567)
O (0.837, 0.750, 0.067)
O (0.907, 0.750, 0.435)

Values from the calculation:
Its crystal system is orthorhombic. As for the symmetry: Pnma.

On energetic grounds, #a is preferred over the next structure by 62 meV per atom.

#a
BaDy2O4 | PBE | optimized geometry

a = 10.506 Å, b = 3.485 Å, c = 12.207 Å
α = 90.00°, β = 90.00°, γ = 90.00°
Positions (direct):
Ba (0.247, 0.250, 0.149)
Ba (0.253, 0.750, 0.649)
Ba (0.747, 0.250, 0.351)
Ba (0.753, 0.750, 0.851)
Dy (0.074, 0.250, 0.389)
Dy (0.077, 0.250, 0.891)
Dy (0.423, 0.750, 0.391)
Dy (0.426, 0.750, 0.889)
Dy (0.574, 0.250, 0.111)
Dy (0.577, 0.250, 0.609)
Dy (0.923, 0.750, 0.109)
Dy (0.926, 0.750, 0.611)
O (0.019, 0.750, 0.783)
O (0.070, 0.250, 0.574)
O (0.115, 0.750, 0.018)
O (0.210, 0.750, 0.341)
O (0.290, 0.250, 0.841)
O (0.385, 0.250, 0.518)
O (0.430, 0.750, 0.074)
O (0.481, 0.250, 0.283)
O (0.519, 0.750, 0.717)
O (0.570, 0.250, 0.926)
O (0.615, 0.750, 0.482)
O (0.710, 0.750, 0.159)
O (0.790, 0.250, 0.659)
O (0.885, 0.250, 0.982)
O (0.930, 0.750, 0.426)
O (0.981, 0.250, 0.217)

Values from the calculation:
Its crystal system is orthorhombic. As for the symmetry: Pnma.

#b
BaDy2O4 | PBE | optimized geometry

a = 5.957 Å, b = 5.957 Å, c = 11.515 Å
α = 90.00°, β = 90.00°, γ = 146.26°
Positions (direct):
Ba (0.112, 0.888, 0.750)
Ba (0.888, 0.112, 0.250)
Dy (0.366, 0.634, 0.571)
Dy (0.366, 0.634, 0.929)
Dy (0.634, 0.366, 0.071)
Dy (0.634, 0.366, 0.429)
O (0.000, 0.000, 0.000)
O (0.000, 0.000, 0.500)
O (0.260, 0.740, 0.102)
O (0.260, 0.740, 0.398)
O (0.439, 0.561, 0.750)
O (0.561, 0.439, 0.250)
O (0.740, 0.260, 0.602)
O (0.740, 0.260, 0.898)

Values from the calculation:
Its crystal system is orthorhombic. As for the symmetry: Cmcm.

On energetic grounds, #a is preferred over the next structure by 40 meV per atom.

#a
BaDy2Os | PBE | optimized geometry

a = 11.004 Å, b = 11.004 Å, c = 11.004 Å
α = 21.13°, β = 21.13°, γ = 21.13°
Positions (direct):
Ba (0.000, 0.000, 0.000)
Dy (0.122, 0.122, 0.122)
Dy (0.878, 0.878, 0.878)
Os (0.500, 0.500, 0.500)

Values from the calculation:
Its crystal system is trigonal. As for the symmetry: R-3m.

#b
BaDy2Os | PBE | optimized geometry

a = 3.483 Å, b = 3.483 Å, c = 10.172 Å
α = 90.00°, β = 90.00°, γ = 90.00°
Positions (direct):
Ba (0.000, 0.000, 0.000)
Dy (0.500, 0.500, 0.341)
Dy (0.500, 0.500, 0.659)
Os (0.000, 0.000, 0.500)

Values from the calculation:
Its crystal system is tetragonal. As for the symmetry: P4/mmm.

On energetic grounds, #b is preferred over the next structure by 226 meV per atom.